1.
## TlAs5 (PBEsol)

Data for a relaxed structure of TlAs5.

Lattice parameters (Å, degrees): 3.4656 3.4656 10.4330 90.00 90.00 90.00
Last column: nearest neighbours and their distance in Å.
Positions (direct):
1 Tl 0.0000 0.0000 0.0000  10 As 3.39-3.45, 4 Tl 3.47
2 As 0.0000 0.0000 0.3307  4 As 2.69
3 As 0.0000 0.0000 0.6693  4 As 2.69
4 As 0.5000 0.5000 0.2239  5 As 2.69-2.88
5 As 0.5000 0.5000 0.5000  10 As 2.88-3.02
6 As 0.5000 0.5000 0.7761  5 As 2.69-2.88

E = -4.435 eV/atom

2.
## TlAs (PBEsol)

Data for a relaxed structure of TlAs.

Lattice parameters (Å, degrees): 3.5410 3.5410 9.3243 90.00 90.00 120.00
Last column: nearest neighbours and their distance in Å.
Positions (direct):
1 Tl 0.3333 0.6667 0.1457  3 As 3.29, 9 Tl 3.40-3.54
2 Tl 0.6667 0.3333 0.8543  3 As 3.29, 9 Tl 3.40-3.54
3 As 0.3333 0.6667 0.5784  3 As 2.51
4 As 0.6667 0.3333 0.4216  3 As 2.51

E = -3.805 eV/atom

3.
## Tl3As (PBEsol)

Data for a relaxed structure of Tl3As.

Lattice parameters (Å, degrees): 4.5249 4.7582 9.8211 90.00 90.00 90.00
Last column: nearest neighbours and their distance in Å.
Positions (direct):
1 Tl 0.0000 0.0000 0.0000  12 Tl 3.28-3.64
2 Tl 0.0000 0.5000 0.2803  4 As 3.13-3.21, 4 Tl 3.28
3 Tl 0.0000 0.5000 0.7197  4 As 3.13-3.21, 4 Tl 3.28
4 Tl 0.5000 0.0000 0.2803  4 As 3.13-3.21, 4 Tl 3.28
5 Tl 0.5000 0.0000 0.7197  4 As 3.13-3.21, 4 Tl 3.28
6 Tl 0.5000 0.5000 0.0000  12 Tl 3.28-3.64
7 As 0.0000 0.0000 0.5000  8 Tl 3.13-3.21, 4 As 3.28
8 As 0.5000 0.5000 0.5000  8 Tl 3.13-3.21, 4 As 3.28

E = -3.159 eV/atom

4.
## Tl3As (PBEsol)

Data for a relaxed structure of Tl3As.

Lattice parameters (Å, degrees): 6.7913 6.7913 15.7558 90.00 90.00 120.00
Last column: nearest neighbours and their distance in Å.
Positions (direct):
1 Tl 0.0134 0.5067 0.2500  4 As 3.16-3.40, 8 Tl 3.26-3.53
2 Tl 0.1667 0.3335 0.5843  4 As 3.27-3.40, 8 Tl 3.29-3.40
3 Tl 0.1667 0.3335 0.9157  4 As 3.27-3.40, 8 Tl 3.29-3.40
4 Tl 0.1667 0.8333 0.5843  4 As 3.27-3.40, 8 Tl 3.29-3.40
5 Tl 0.1667 0.8333 0.9157  4 As 3.27-3.40, 8 Tl 3.29-3.40
6 Tl 0.3335 0.1667 0.0843  4 As 3.27-3.40, 8 Tl 3.29-3.40
7 Tl 0.3335 0.1667 0.4157  4 As 3.27-3.40, 8 Tl 3.29-3.40
8 Tl 0.4933 0.5067 0.2500  4 As 3.16-3.40, 8 Tl 3.26-3.53
9 Tl 0.4933 0.9866 0.2500  4 As 3.16-3.40, 8 Tl 3.26-3.53
10 Tl 0.5067 0.0134 0.7500  4 As 3.16-3.40, 8 Tl 3.26-3.53
11 Tl 0.5067 0.4933 0.7500  4 As 3.16-3.40, 8 Tl 3.26-3.53
12 Tl 0.6665 0.8333 0.5843  4 As 3.27-3.40, 8 Tl 3.29-3.40
13 Tl 0.6665 0.8333 0.9157  4 As 3.27-3.40, 8 Tl 3.29-3.40
14 Tl 0.8333 0.1667 0.0843  4 As 3.27-3.40, 8 Tl 3.29-3.40
15 Tl 0.8333 0.1667 0.4157  4 As 3.27-3.40, 8 Tl 3.29-3.40
16 Tl 0.8333 0.6665 0.0843  4 As 3.27-3.40, 8 Tl 3.29-3.40
17 Tl 0.8333 0.6665 0.4157  4 As 3.27-3.40, 8 Tl 3.29-3.40
18 Tl 0.9866 0.4933 0.7500  4 As 3.16-3.40, 8 Tl 3.26-3.53
19 As 0.0000 0.0000 0.2500  12 Tl 3.27-3.40
20 As 0.0000 0.0000 0.7500  12 Tl 3.27-3.40
21 As 0.3333 0.6667 0.0885  12 Tl 3.16-3.40
22 As 0.3333 0.6667 0.4115  12 Tl 3.16-3.40
23 As 0.6667 0.3333 0.5885  12 Tl 3.16-3.40
24 As 0.6667 0.3333 0.9115  12 Tl 3.16-3.40

E = -3.167 eV/atom

5.
## TlAs (PBEsol)

Data for a relaxed structure of TlAs.

Lattice parameters (Å, degrees): 3.5885 3.5885 7.5991 90.00 90.00 90.00
Last column: nearest neighbours and their distance in Å.
Positions (direct):
1 Tl 0.2500 0.2500 0.1545  5 As 3.09-3.33, 4 Tl 3.46
2 Tl 0.7500 0.7500 0.8455  5 As 3.09-3.33, 4 Tl 3.46
3 As 0.2500 0.2500 0.5616  4 As 2.70
4 As 0.7500 0.7500 0.4384  4 As 2.70

E = -3.796 eV/atom

6.
## TlAs5 (PBEsol)

Data for a relaxed structure of TlAs5.

Lattice parameters (Å, degrees): 11.8165 3.5016 7.2746 90.00 114.71 90.00
Last column: nearest neighbours and their distance in Å.
Positions (direct):
1 Tl 0.0000 0.0000 0.0000  6 As 3.13-3.26, 2 Tl 3.50
2 Tl 0.5000 0.5000 0.0000  6 As 3.13-3.26, 2 Tl 3.50
3 As 0.1022 0.5000 0.7229  2 As 2.53
4 As 0.2401 0.5000 0.4153  5 As 2.52-2.78
5 As 0.2569 0.0000 0.7229  4 As 2.53-2.78
6 As 0.2911 0.0000 0.1723  4 As 2.61-2.73
7 As 0.4507 0.5000 0.4063  3 As 2.52-2.61
8 As 0.6022 0.0000 0.7229  2 As 2.53
9 As 0.7401 0.0000 0.4153  5 As 2.52-2.78
10 As 0.7569 0.5000 0.7229  4 As 2.53-2.78
11 As 0.7911 0.5000 0.1723  4 As 2.61-2.73
12 As 0.9507 0.0000 0.4063  3 As 2.52-2.61

E = -4.519 eV/atom

7.
## TlAs (PBEsol)

Data for a relaxed structure of TlAs.

Lattice parameters (Å, degrees): 3.6214 5.2642 10.5526 90.00 90.00 90.00
Last column: nearest neighbours and their distance in Å.
Positions (direct):
1 Tl 0.0000 0.2500 0.1064  8 As 3.26-3.54, 6 Tl 3.46-3.62
2 Tl 0.0000 0.7500 0.8936  8 As 3.26-3.54, 6 Tl 3.46-3.62
3 Tl 0.5000 0.2500 0.3936  8 As 3.26-3.54, 6 Tl 3.46-3.62
4 Tl 0.5000 0.7500 0.6064  8 As 3.26-3.54, 6 Tl 3.46-3.62
5 As 0.0000 0.2500 0.6690  2 As 2.49
6 As 0.0000 0.7500 0.3310  2 As 2.49
7 As 0.5000 0.2500 0.8310  2 As 2.49
8 As 0.5000 0.7500 0.1690  2 As 2.49

E = -3.826 eV/atom

8.
## TlAs2 (PBEsol)

Data for a relaxed structure of TlAs2.

Lattice parameters (Å, degrees): 3.4570 3.4570 11.5688 90.00 90.00 90.00
Last column: nearest neighbours and their distance in Å.
Positions (direct):
1 Tl 0.0000 0.0000 0.0000  10 As 3.40-3.42, 4 Tl 3.46
2 Tl 0.5000 0.5000 0.5000  10 As 3.40-3.42, 4 Tl 3.46
3 As 0.0000 0.0000 0.2954  4 As 2.66
4 As 0.0000 0.0000 0.7046  4 As 2.66
5 As 0.5000 0.5000 0.2046  4 As 2.66
6 As 0.5000 0.5000 0.7954  4 As 2.66

E = -4.200 eV/atom

9.
## TlAs (PBEsol)

Data for a relaxed structure of TlAs.

Lattice parameters (Å, degrees): 4.7548 12.2346 3.5917 90.00 90.00 90.00
Last column: nearest neighbours and their distance in Å.
Positions (direct):
1 Tl 0.0000 0.1582 0.2500  5 As 3.16-3.31
2 Tl 0.0000 0.8418 0.7500  5 As 3.16-3.31
3 Tl 0.5000 0.3418 0.7500  5 As 3.16-3.31
4 Tl 0.5000 0.6582 0.2500  5 As 3.16-3.31
5 As 0.0000 0.4288 0.2500  2 As 2.50
6 As 0.0000 0.5712 0.7500  2 As 2.50
7 As 0.5000 0.0712 0.7500  2 As 2.50
8 As 0.5000 0.9288 0.2500  2 As 2.50

E = -3.817 eV/atom

10.
## Tl3As (PBEsol)

Data for a relaxed structure of Tl3As.

Lattice parameters (Å, degrees): 3.6138 5.2086 11.3110 90.00 90.00 90.00
Last column: nearest neighbours and their distance in Å.
Positions (direct):
1 Tl 0.0000 0.0000 0.0000  4 As 3.17, 4 Tl 3.54
2 Tl 0.0000 0.5000 0.2122  2 As 3.00, 4 Tl 3.28
3 Tl 0.0000 0.5000 0.7878  2 As 3.00, 4 Tl 3.28
4 Tl 0.5000 0.0000 0.2878  2 As 3.00, 4 Tl 3.28
5 Tl 0.5000 0.0000 0.7122  2 As 3.00, 4 Tl 3.28
6 Tl 0.5000 0.5000 0.5000  4 As 3.17, 4 Tl 3.54
7 As 0.0000 0.0000 0.5000  8 Tl 3.00-3.17
8 As 0.5000 0.5000 0.0000  8 Tl 3.00-3.17

E = -3.165 eV/atom

11.
## Tl3As (PBEsol)

Data for a relaxed structure of Tl3As.

Lattice parameters (Å, degrees): 3.3725 4.0122 7.7415 90.00 90.00 90.00
Last column: nearest neighbours and their distance in Å.
Positions (direct):
1 Tl 0.0000 0.0000 0.0000  10 Tl 3.37-3.40
2 Tl 0.5000 0.5000 0.2806  4 As 3.12, 7 Tl 3.37-3.40
3 Tl 0.5000 0.5000 0.7194  4 As 3.12, 7 Tl 3.37-3.40
4 As 0.0000 0.0000 0.5000  8 Tl 3.12, 2 As 3.37

E = -3.179 eV/atom

12.
## TlAs2 (PBEsol)

Data for a relaxed structure of TlAs2.

Lattice parameters (Å, degrees): 5.7545 5.7545 5.7545 60.00 60.00 60.00
Last column: nearest neighbours and their distance in Å.
Positions (direct):
1 Tl 0.1250 0.1250 0.1250  12 As 3.37, 4 Tl 3.52
2 Tl 0.8750 0.8750 0.8750  12 As 3.37, 4 Tl 3.52
3 As 0.0000 0.5000 0.5000  6 As 2.88
4 As 0.5000 0.0000 0.5000  6 As 2.88
5 As 0.5000 0.5000 0.0000  6 As 2.88
6 As 0.5000 0.5000 0.5000  6 As 2.88

E = -4.098 eV/atom

- Look up the E of the tenth one.
  -3.165 eV/atom